# 1
# NaOs2Cl | Alexandria | PBE-GGA | relaxed
data_NaOs2Cl
_chemical_formula_sum 'Na2 Os4 Cl2'
_cell_length_a 6.218
_cell_length_b 6.218
_cell_length_c 6.218
_cell_angle_alpha 97.64
_cell_angle_beta 97.64
_cell_angle_gamma 137.23
_space_group_name_H-M_alt 'P 1'
_space_group_IT_number 1
_space_group_name_Hall 'P 1'
loop_
_atom_site_label
_atom_site_fract_x
_atom_site_fract_y
_atom_site_fract_z
_atom_site_occupancy
Na1 0.000 0.000 0.000 1
Na2 0.750 0.250 0.500 1
Os1 0.186 0.125 0.561 1
Os2 0.375 0.814 0.939 1
Os3 0.564 0.625 0.439 1
Os4 0.875 0.436 0.061 1
Cl1 0.250 0.750 0.500 1
Cl2 0.500 0.500 0.000 1
# N(E_F) (states/eV per cell): 6.5
# Relative energy among the computed polymorphs (eV per formula unit): 0.000
# Space-group type: No. 122
# Formation energy (no corrections) (eV/atom): 1.30
# V (Å³/f.u.): 76

=====

# 2
# Na2OsCl2 | Alexandria | PBE-GGA | relaxed
data_Na2OsCl2
_chemical_formula_sum 'Na2 Os1 Cl2'
_cell_length_a 7.125
_cell_length_b 7.125
_cell_length_c 7.125
_cell_angle_alpha 140.59
_cell_angle_beta 140.59
_cell_angle_gamma 56.95
_space_group_name_H-M_alt 'P 1'
_space_group_IT_number 1
_space_group_name_Hall 'P 1'
loop_
_atom_site_label
_atom_site_fract_x
_atom_site_fract_y
_atom_site_fract_z
_atom_site_occupancy
Na1 0.250 0.750 0.500 1
Na2 0.750 0.250 0.500 1
Os1 0.000 0.000 0.000 1
Cl1 0.348 0.348 0.000 1
Cl2 0.652 0.652 0.000 1
# N(E_F) (states/eV per cell): 2.7
# Relative energy among the computed polymorphs (eV per formula unit): 1.660
# Space-group type: No. 139
# Formation energy (no corrections) (eV/atom): 0.26
# V (Å³/f.u.): 145

=====

| no. | total magnetization (μB per cell) |
| --- | --- |
| 1 | 0.00 |
| 2 | 4.00 |